(1)
A plane-wave DFT calculation with GGA-PBE was carried out for a relaxed structure of SrCr3In.

abc: 5.2706 5.2706 5.2706
angles: 90.00 90.00 90.00
Last column: magnetic moment on the atom in μB.
Positions (direct):
Sr: 0.5000 0.5000 0.5000  0.05
Cr: 0.0000 0.0000 0.5000  3.94
In: 0.0000 0.0000 0.0000  -0.09
Cr: 0.0000 0.5000 0.0000  3.90
Cr: 0.5000 0.0000 0.0000  3.70

## Properties
**ΔE_f**: 1.076 eV per atom
**Relative energy among the computed polymorphs**: 0.000 eV per atom
**Total magnetization**: 13.26 μB per cell
**E**: -5.5819 eV/atom

(2)
A plane-wave DFT calculation with GGA-PBE was carried out for a relaxed structure of SrCrIn2.

abc: 3.8155 3.8238 7.6085
angles: 90.00 90.00 90.00
Last column: magnetic moment on the atom in μB.
Positions (direct):
Sr: 0.0000 0.0000 0.5058  0.06
Cr: 0.5000 0.5000 0.8138  3.87
In: 0.5000 0.5000 0.2071  0.03
In: 0.0000 0.0000 0.9733  -0.01

## Properties
**ΔE_f**: 0.188 eV per atom
**Total magnetization**: 4.79 μB per cell
**E**: -4.0079 eV/atom

(3)
A plane-wave DFT calculation with GGA-PBE was carried out for a relaxed structure of SrCr2In.

abc: 2.8672 2.8672 9.3922
angles: 90.00 90.00 89.56
Last column: magnetic moment on the atom in μB.
Positions (direct):
In: 0.5000 0.5000 0.2500  -0.01
Sr: 0.5000 0.5000 0.7500  -0.02
Cr: 0.0000 0.0000 0.0319  0.29
Cr: 0.0000 0.0000 0.4681  0.29

## Properties
**ΔE_f**: 1.173 eV per atom
**Total magnetization**: 0.54 μB per cell
**E**: -4.7433 eV/atom

(4)
A plane-wave DFT calculation with GGA-PBE was carried out for a relaxed structure of SrCr2In.

abc: 5.9954 5.9820 3.3341
angles: 76.78 84.28 118.25
Last column: magnetic moment on the atom in μB.
Positions (direct):
In: 0.0000 0.5000 0.5000  -0.08
Cr: 0.0000 0.0000 0.0000  3.81
Sr: 0.5000 0.5000 0.0000  0.03
Cr: 0.5000 0.0000 0.5000  3.81

## Properties
**ΔE_f**: 0.806 eV per atom
**Total magnetization**: 8.56 μB per cell
**E**: -5.1110 eV/atom

(5)
A plane-wave DFT calculation with GGA-PBE was carried out for a relaxed structure of SrCr2In.

abc: 5.2011 5.2011 5.2011
angles: 60.00 60.00 60.00
Last column: magnetic moment on the atom in μB.
Positions (direct):
In: 0.5000 0.5000 0.5000  -0.17
Sr: 0.2500 0.2500 0.2500  0.02
Cr: 0.7500 0.7500 0.7500  3.82
Cr: 0.0000 0.0000 0.0000  3.97

## Properties
**ΔE_f**: 0.654 eV per atom
**Total magnetization**: 8.63 μB per cell
**E**: -5.2631 eV/atom

(6)
A plane-wave DFT calculation with GGA-PBE was carried out for a relaxed structure of Ta4CrIn.

abc: 5.4783 5.4783 5.4783
angles: 60.00 60.00 60.00
Last column: magnetic moment on the atom in μB.
Positions (direct):
Ta: 0.3753 0.3753 0.3753  -0.10
Ta: 0.3753 0.8741 0.3753  -0.10
Ta: 0.3753 0.3753 0.8741  -0.10
Ta: 0.8741 0.3753 0.3753  -0.10
In: 0.0000 0.0000 0.0000  -0.03
Cr: 0.7500 0.7500 0.7500  2.91

## Properties
**ΔE_f**: 0.519 eV per atom
**Total magnetization**: 2.60 μB per cell
**E**: -9.4432 eV/atom

(7)
A plane-wave DFT calculation with GGA-PBE was carried out for a relaxed structure of TaCr3In.

abc: 4.8275 4.8275 4.8275
angles: 90.00 90.00 90.00
Last column: magnetic moment on the atom in μB.
Positions (direct):
In: 0.0000 0.0000 0.0000  -0.02
Ta: 0.5000 0.5000 0.5000  -1.46
Cr: 0.0000 0.0000 0.5000  3.48
Cr: 0.5000 0.0000 0.0000  2.93
Cr: 0.0000 0.5000 0.0000  3.42

## Properties
**ΔE_f**: 2.011 eV per atom
**Relative energy among the computed polymorphs**: 0.572 eV per atom
**Total magnetization**: 8.50 μB per cell
**E**: -6.6816 eV/atom

(8)
A plane-wave DFT calculation with GGA-PBE was carried out for a relaxed structure of TaCrIn4.

abc: 5.7119 5.7119 5.7119
angles: 60.00 60.00 60.00
Last column: magnetic moment on the atom in μB.
Positions (direct):
Cr: 0.0000 0.0000 0.0000  3.70
In: 0.3751 0.3751 0.3751  0.00
In: 0.8748 0.3751 0.3751  0.00
Ta: 0.7500 0.7500 0.7500  -0.65
In: 0.3751 0.3751 0.8748  0.00
In: 0.3751 0.8748 0.3751  0.00

## Properties
**ΔE_f**: 0.755 eV per atom
**Total magnetization**: 3.06 μB per cell
**E**: -4.6503 eV/atom